The following is a PBE calculation of crystalline Be3CoCu2 at its relaxed geometry, from the Alexandria database.

Unit cell a=2.613 b=2.613 c=8.292 alpha=90.00 beta=90.00 gamma=90.00
Atoms (fractional coordinates):
Be1 0.000 0.000 0.000
Be2 0.000 0.000 0.353
Be3 0.000 0.000 0.647
Co1 0.500 0.500 0.500
Cu1 0.500 0.500 0.176
Cu2 0.500 0.500 0.824

Results
The value obtained for the total magnetization is 0.000 μB/f.u. Its formation energy is -0.1958 eV per atom. For the total energy, the calculation gives -27.7 eV for the cell shown.